Version one
A geometry-optimized HgSeN2F structure, computed with PBE.

abc: 4.7790 4.7790 4.0589
angles: 90.00 90.00 90.00
Sites, in units of the cell vectors:
Hg: 0.0000 0.0000 0.0000
Se: 0.5000 0.5000 0.0000
N: 0.0000 0.5000 0.5000
N: 0.5000 0.0000 0.5000
F: 0.5000 0.5000 0.5000

Version two
A geometry-optimized HgSeN2F structure, computed with PBE.

abc: 3.9536 3.9536 4.2652
angles: 90.00 90.00 90.00
Sites, in units of the cell vectors:
Hg: 0.0000 0.0000 0.0000
Se: 0.5000 0.5000 0.5000
N: 0.0000 0.5000 0.5000
N: 0.5000 0.0000 0.5000
F: 0.5000 0.5000 0.0000

Winner for stability: version two

Version one
A geometry-optimized HgSe2NF structure, computed with PBE.

abc: 4.5467 4.5467 4.8380
angles: 90.00 90.00 90.00
Sites, in units of the cell vectors:
Hg: 0.0000 0.0000 0.0000
Se: 0.0000 0.5000 0.5000
Se: 0.5000 0.0000 0.5000
N: 0.5000 0.5000 0.0000
F: 0.5000 0.5000 0.5000

Version two
A geometry-optimized HgSe2NF structure, computed with PBE.

abc: 5.4659 5.4659 4.2089
angles: 90.00 90.00 90.00
Sites, in units of the cell vectors:
Hg: 0.0000 0.0000 0.0000
Se: 0.0000 0.5000 0.0000
Se: 0.5000 0.0000 0.0000
N: 0.0000 0.0000 0.5000
F: 0.5000 0.5000 0.5000

Winner for stability: version one

Version one
A geometry-optimized SiHgNF2 structure, computed with PBE.

abc: 4.3878 4.3878 3.2632
angles: 90.00 90.00 90.00
Sites, in units of the cell vectors:
Si: 0.0000 0.0000 0.0000
Hg: 0.5000 0.5000 0.5000
N: 0.0000 0.0000 0.5000
F: 0.0000 0.5000 0.0000
F: 0.5000 0.0000 0.0000

Version two
A geometry-optimized SiHgNF2 structure, computed with PBE.

abc: 4.4833 4.4833 4.2363
angles: 90.00 90.00 90.00
Sites, in units of the cell vectors:
Si: 0.0000 0.0000 0.0000
Hg: 0.5000 0.5000 0.5000
N: 0.5000 0.5000 0.0000
F: 0.0000 0.5000 0.5000
F: 0.5000 0.0000 0.5000

Winner for stability: version one

Version one
A geometry-optimized SrHgNF2 structure, computed with PBE.

abc: 4.6737 4.6737 5.9848
angles: 90.00 90.00 90.00
Sites, in units of the cell vectors:
Sr: 0.0000 0.0000 0.0000
Hg: 0.5000 0.5000 0.5000
N: 0.0000 0.0000 0.5000
F: 0.0000 0.5000 0.0000
F: 0.5000 0.0000 0.0000

Version two
A geometry-optimized SrHgNF2 structure, computed with PBE.

abc: 4.7903 4.7903 4.0736
angles: 90.00 90.00 90.00
Sites, in units of the cell vectors:
Sr: 0.0000 0.0000 0.0000
Hg: 0.5000 0.5000 0.5000
N: 0.5000 0.5000 0.0000
F: 0.0000 0.5000 0.5000
F: 0.5000 0.0000 0.5000

Winner for stability: version one

Version one
A geometry-optimized TcHgNF2 structure, computed with PBE.

abc: 4.4769 4.4769 4.2419
angles: 90.00 90.00 90.00
Sites, in units of the cell vectors:
Tc: 0.0000 0.0000 0.0000
Hg: 0.5000 0.5000 0.5000
N: 0.5000 0.5000 0.0000
F: 0.0000 0.5000 0.5000
F: 0.5000 0.0000 0.5000

Version two
A geometry-optimized TcHgNF2 structure, computed with PBE.

abc: 4.3117 4.3117 3.8120
angles: 90.00 90.00 90.00
Sites, in units of the cell vectors:
Tc: 0.0000 0.0000 0.0000
Hg: 0.5000 0.5000 0.5000
N: 0.0000 0.0000 0.5000
F: 0.0000 0.5000 0.0000
F: 0.5000 0.0000 0.0000

Winner for stability: version two

Version one
A geometry-optimized HgTeNF2 structure, computed with PBE.

abc: 4.4391 4.4391 4.4860
angles: 90.00 90.00 90.00
Sites, in units of the cell vectors:
Hg: 0.0000 0.0000 0.0000
Te: 0.5000 0.5000 0.5000
N: 0.0000 0.0000 0.5000
F: 0.0000 0.5000 0.0000
F: 0.5000 0.0000 0.0000

Version two
A geometry-optimized HgTeNF2 structure, computed with PBE.

abc: 4.5778 4.5778 4.1488
angles: 90.00 90.00 90.00
Sites, in units of the cell vectors:
Hg: 0.0000 0.0000 0.0000
Te: 0.5000 0.5000 0.5000
N: 0.5000 0.5000 0.0000
F: 0.0000 0.5000 0.5000
F: 0.5000 0.0000 0.5000

Winner for stability: version two

Version one
A geometry-optimized TiHgN2F structure, computed with PBE.

abc: 4.1476 4.1476 4.3052
angles: 90.00 90.00 90.00
Sites, in units of the cell vectors:
Ti: 0.0000 0.0000 0.0000
Hg: 0.5000 0.5000 0.5000
N: 0.0000 0.5000 0.5000
N: 0.5000 0.0000 0.5000
F: 0.5000 0.5000 0.0000

Version two
A geometry-optimized TiHgN2F structure, computed with PBE.

abc: 4.0330 4.0330 3.9448
angles: 90.00 90.00 90.00
Sites, in units of the cell vectors:
Ti: 0.0000 0.0000 0.0000
Hg: 0.5000 0.5000 0.5000
N: 0.0000 0.5000 0.0000
N: 0.5000 0.0000 0.0000
F: 0.0000 0.0000 0.5000

Winner for stability: version two

Version one
A geometry-optimized TlHgN2F structure, computed with PBE.

abc: 4.3342 4.3342 5.0725
angles: 90.00 90.00 90.00
Sites, in units of the cell vectors:
Tl: 0.0000 0.0000 0.0000
Hg: 0.5000 0.5000 0.5000
N: 0.0000 0.5000 0.5000
N: 0.5000 0.0000 0.5000
F: 0.5000 0.5000 0.0000

Version two
A geometry-optimized TlHgN2F structure, computed with PBE.

abc: 4.4351 4.4351 4.5557
angles: 90.00 90.00 90.00
Sites, in units of the cell vectors:
Tl: 0.0000 0.0000 0.0000
Hg: 0.5000 0.5000 0.5000
N: 0.0000 0.5000 0.0000
N: 0.5000 0.0000 0.0000
F: 0.0000 0.0000 0.5000

Winner for stability: version one